# 1
Y4ScTl: optimized geometry, PBE.

a b c (Å): 3.596 3.596 13.742
angles (deg): 90.00 90.00 90.00
Space group P4/mmm (No. 123)
Symmetry-distinct sites (fractional):
Y: 0.000 0.000 0.153 [2 per cell]
Y: 0.500 0.500 0.337 [2 per cell]
Sc: 0.000 0.000 0.500 [1 per cell]
Tl: 0.500 0.500 0.000 [1 per cell]

As for the electronic total energy: -35.15 eV for the cell shown. As for the volume: 29.62 Å³ per atom. For the total magnetization, the calculation gives 0.00 μB/atom. The calculation puts the energy above the most stable polymorph in this dataset at 0.0 kJ/mol of formula units.



# 2
Rb2Pd2F7: optimized geometry, PBE.

a b c (Å): 4.230 13.336 6.605
angles (deg): 90.00 90.00 90.00
Space group P2_1/c (No. 14)
Symmetry-distinct sites (fractional):
Rb: 0.004 0.092 0.302 [4 per cell]
Pd: 0.497 0.649 0.638 [4 per cell]
F: 0.003 0.149 0.865 [4 per cell]
F: 0.496 0.581 0.901 [4 per cell]
F: 0.497 0.710 0.355 [4 per cell]
F: 0.500 0.000 0.000 [2 per cell]

As for the electronic total energy: -91.32 eV for the cell shown. As for the volume: 16.94 Å³ per atom. For the total magnetization, the calculation gives 0.00 μB/atom.



# 3
Eu2MgSn: optimized geometry, PBE.

a b c (Å): 3.7756 3.7756 32.1420
angles (deg): 90.00 90.00 120.00
Space group R-3m (No. 166, hexagonal axes)
Symmetry-distinct sites (fractional):
Eu: 0.0000 0.0000 0.2452 [6 per cell]
Mg: 0.0000 0.0000 0.0000 [3 per cell]
Sn: 0.0000 0.0000 0.5000 [3 per cell]

As for the electronic total energy: -80.88 eV for the cell shown. As for the volume: 33.07 Å³ per atom. For the total magnetization, the calculation gives 3.77 μB/atom.



# 4
Na2YRhO: optimized geometry, PBE.

a b c (Å): 6.189 6.189 4.060
angles (deg): 90.00 90.00 90.00
Space group P4/mmm (No. 123)
Symmetry-distinct sites (fractional):
Na: 0.000 0.500 0.000 [2 per cell]
Y: 0.000 0.000 0.000 [1 per cell]
Rh: 0.500 0.500 0.500 [1 per cell]
O: 0.000 0.000 0.500 [1 per cell]

As for the electronic total energy: -20.82 eV for the cell shown. As for the volume: 31.10 Å³ per atom. For the total magnetization, the calculation gives 0.12 μB/atom.



# 5
CsMg2SnRh: optimized geometry, PBE.

a b c (Å): 5.295 5.295 5.131
angles (deg): 90.00 90.00 90.00
Space group P4/mmm (No. 123)
Symmetry-distinct sites (fractional):
Cs: 0.000 0.000 0.000 [1 per cell]
Mg: 0.000 0.500 0.500 [2 per cell]
Sn: 0.500 0.500 0.000 [1 per cell]
Rh: 0.500 0.500 0.500 [1 per cell]

As for the electronic total energy: -16.41 eV for the cell shown. As for the volume: 28.77 Å³ per atom. For the total magnetization, the calculation gives 0.00 μB/atom.



# 6
Ho2ZnTe: optimized geometry, PBE.

a b c (Å): 4.0239 4.0239 23.2333
angles (deg): 90.00 90.00 120.00
Space group R3m (No. 160, hexagonal axes)
Symmetry-distinct sites (fractional):
Ho: 0.0000 0.0000 0.0000 [3 per cell]
Ho: 0.0000 0.0000 0.1778 [3 per cell]
Zn: 0.0000 0.0000 0.5877 [3 per cell]
Te: 0.0000 0.0000 0.7563 [3 per cell]

As for the electronic total energy: -49.09 eV for the cell shown. As for the volume: 27.15 Å³ per atom. For the total magnetization, the calculation gives 0.00 μB/atom. The calculation puts the energy above the most stable polymorph in this dataset at 41.3 kJ/mol of formula units.



# 7
Ba2MgCrN4: optimized geometry, PBE.

a b c (Å): 4.935 11.453 20.511
angles (deg): 90.00 90.00 90.00
Space group Fddd (No. 70, origin choice 2)
Symmetry-distinct sites (fractional):
Ba: 0.125 0.125 0.302 [16 per cell]
Mg: 0.125 0.125 0.125 [8 per cell]
Cr: 0.125 0.125 0.625 [8 per cell]
N: 0.087 0.282 0.828 [32 per cell]

As for the electronic total energy: -423.22 eV for the cell shown. As for the volume: 18.11 Å³ per atom. For the total magnetization, the calculation gives 0.00 μB/atom.



# 8
Mg2Cr2Ge: optimized geometry, PBE.

a b c (Å): 3.155 3.155 17.688
angles (deg): 90.00 90.00 90.00
Space group I4/mmm (No. 139)
Symmetry-distinct sites (fractional):
Mg: 0.000 0.000 0.111 [4 per cell]
Cr: 0.000 0.500 0.250 [4 per cell]
Ge: 0.000 0.000 0.500 [2 per cell]

As for the electronic total energy: -50.07 eV for the cell shown. As for the volume: 17.61 Å³ per atom. For the total magnetization, the calculation gives 0.00 μB/atom. The calculation puts the energy above the most stable polymorph in this dataset at 0.0 kJ/mol of formula units.